1.
Here is an optimized crystal structure of RhWAu2 from Alexandria. Energies are from PBE-GGA.

a = 2.839 Å, b = 3.973 Å, c = 5.821 Å
α = 90.00°, β = 90.00°, γ = 90.00°
Fractional coordinates of all 4 atoms:
Rh 0.500 0.000 0.525
W 0.000 0.500 0.727
Au 0.500 0.000 0.993
Au 0.000 0.500 0.254

Computed properties:
Symmetry = Pmm2, No. 25
Total moment = 0.00 μB per cell
ΔE_f = 0.1383 eV/atom

2.
Here is an optimized crystal structure of Ho2NpRu3 from Alexandria. Energies are from PBE-GGA.

a = 5.801 Å, b = 5.801 Å, c = 7.964 Å
α = 90.00°, β = 90.00°, γ = 120.00°
Fractional coordinates of all 12 atoms:
Ho 0.667 0.333 0.443
Ho 0.333 0.667 0.557
Ho 0.333 0.667 0.943
Ho 0.667 0.333 0.057
Np 0.000 0.000 0.500
Np 0.000 0.000 0.000
Ru 0.166 0.332 0.250
Ru 0.332 0.166 0.750
Ru 0.834 0.668 0.750
Ru 0.166 0.834 0.250
Ru 0.834 0.166 0.750
Ru 0.668 0.834 0.250

Computed properties:
Symmetry = P6_3/mmc, No. 194
Total moment = 2.84 μB per cell
ΔE_f = -0.4005 eV/atom

3.
Here is an optimized crystal structure of RuPtBr from Alexandria. Energies are from PBE-GGA.

a = 6.628 Å, b = 6.628 Å, c = 6.628 Å
α = 153.90°, β = 153.90°, γ = 37.25°
Fractional coordinates of all 3 atoms:
Ru 0.670 0.670 0.000
Br 0.031 0.031 0.000
Pt 0.298 0.298 0.000

Computed properties:
Symmetry = I4mm, No. 107
Formation energy (no corrections) = 647 meV/atom
Total moment = 0.62 μB per cell